Entry 1:
Entry from Alexandria via LeMat-Bulk: Cs2HfTiF6 after structural relaxation (PBE).

a b c (Å): 6.3655 6.3655 6.3306
angles (deg): 59.82 59.82 90.00
Site moments in Bohr magnetons follow the coordinates.
Sites, in units of the cell vectors:
F: 0.7592 0.2408 0.0000  0.01
F: 0.2408 0.2408 0.0000  0.01
Cs: 0.7500 0.2500 0.5000  0.02
F: 0.2408 0.7592 0.0000  0.01
Ti: 0.5000 0.5000 0.0000  2.16
F: 0.7635 0.7635 0.4729  0.00
F: 0.7592 0.7592 0.0000  0.01
F: 0.2365 0.2365 0.5271  0.00
Hf: 0.0000 0.0000 0.0000  0.83
Cs: 0.2500 0.7500 0.5000  0.02

Computed properties:
Raw total energy ... -56.87 eV per cell
Energy relative to the elements, uncorrected ... -26.1 eV per formula unit
Size of the total moment ... 3.98 μB per cell
Symmetry ... I4/mmm
Fermi-level density of states ... 5.1 states/eV/cell

***

Entry 2:
Entry from Alexandria via LeMat-Bulk: CsHfTl2F after structural relaxation (PBE).

a b c (Å): 6.5637 5.6934 6.5637
angles (deg): 90.00 90.00 90.00
Sites, in units of the cell vectors:
Cs: 0.0000 0.0000 0.0000
F: 0.5000 0.5000 0.5000
Tl: 0.5000 0.0000 0.0000
Tl: 0.0000 0.0000 0.5000
Hf: 0.0000 0.5000 0.0000

Computed properties:
Raw total energy ... -11.10 eV per cell
Energy relative to the elements, uncorrected ... 6.3 eV per formula unit
Size of the total moment ... 0.00 μB per cell
Symmetry ... P4/mmm
Fermi-level density of states ... 6.9 states/eV/cell

***

Entry 3:
Entry from Alexandria via LeMat-Bulk: Cs2HfTlF after structural relaxation (PBE).

a b c (Å): 7.5404 4.7418 7.5404
angles (deg): 90.00 90.00 90.00
Site moments in Bohr magnetons follow the coordinates.
Sites, in units of the cell vectors:
Cs: 0.0000 0.0000 0.5000  0.03
Tl: 0.0000 0.0000 0.0000  0.01
Hf: 0.5000 0.5000 0.5000  1.42
Cs: 0.5000 0.0000 0.0000  0.03
F: 0.0000 0.5000 0.0000  0.01

Computed properties:
Raw total energy ... -14.06 eV per cell
Energy relative to the elements, uncorrected ... 1.8 eV per formula unit
Size of the total moment ... 3.19 μB per cell
Symmetry ... P4/mmm
Fermi-level density of states ... 7.1 states/eV/cell

***

Entry 4:
Entry from Alexandria via LeMat-Bulk: Cs2HfZrF6 after structural relaxation (PBE).

a b c (Å): 6.0498 6.0498 7.8957
angles (deg): 67.47 67.47 90.00
Site moments in Bohr magnetons follow the coordinates.
Sites, in units of the cell vectors:
F: 0.7616 0.2384 0.0000  0.00
F: 0.8481 0.8481 0.3038  0.00
F: 0.7616 0.7616 0.0000  0.00
Cs: 0.7500 0.2500 0.5000  0.01
Zr: 0.5000 0.5000 0.0000  1.12
F: 0.2384 0.7616 0.0000  0.00
F: 0.1519 0.1519 0.6962  0.00
Hf: 0.0000 0.0000 0.0000  0.24
Cs: 0.2500 0.7500 0.5000  0.01
F: 0.2384 0.2384 0.0000  0.00

Computed properties:
Raw total energy ... -58.35 eV per cell
Energy relative to the elements, uncorrected ... -26.9 eV per formula unit
Size of the total moment ... 2.00 μB per cell
Symmetry ... I4/mmm
Fermi-level density of states ... 6.5 states/eV/cell

***

Entry 5:
Entry from Alexandria via LeMat-Bulk: CsHgF3 after structural relaxation (PBE).

a b c (Å): 5.2338 5.2338 8.7798
angles (deg): 72.66 72.66 90.00
Sites, in units of the cell vectors:
Hg: 0.0000 0.0000 0.0000
Cs: 0.6395 0.1395 0.7211
F: 0.1534 0.8918 0.2164
Cs: 0.8605 0.3605 0.2789
Hg: 0.2500 0.7500 0.5000
F: 0.1082 0.3698 0.7836
F: 0.1082 0.8466 0.7836
F: 0.6302 0.8918 0.2164
F: 0.2736 0.2736 0.4528
F: 0.7264 0.7264 0.5472

Computed properties:
Raw total energy ... -30.70 eV per cell
Energy relative to the elements, uncorrected ... -8.6 eV per formula unit
Size of the total moment ... 0.00 μB per cell
Symmetry ... I-4m2
Fermi-level density of states ... 0.0 states/eV/cell

***

Entry 6:
Entry from Alexandria via LeMat-Bulk: CsHg3F7 after structural relaxation (PBE).

a b c (Å): 5.8580 6.2442 5.8580
angles (deg): 102.72 95.72 102.72
Sites, in units of the cell vectors:
F: 0.5000 0.0000 0.5000
F: 0.9503 0.7547 0.3646
F: 0.1229 0.2288 0.1229
Cs: 0.5000 0.5000 0.5000
F: 0.3646 0.7547 0.9503
F: 0.0497 0.2453 0.6354
F: 0.6354 0.2453 0.0497
Hg: 0.0000 0.5000 0.0000
Hg: 0.7672 0.0000 0.2328
F: 0.8771 0.7712 0.8771
Hg: 0.2328 0.0000 0.7672

Computed properties:
Raw total energy ... -33.05 eV per cell
Energy relative to the elements, uncorrected ... -18.2 eV per formula unit
Size of the total moment ... 0.00 μB per cell
Symmetry ... C2/m

***

Entry 7:
Entry from Alexandria via LeMat-Bulk: CsHg2F after structural relaxation (PBE).

a b c (Å): 4.1234 4.1234 16.8437
angles (deg): 90.00 90.00 90.00
Sites, in units of the cell vectors:
Hg: 0.0000 0.0000 0.8309
Hg: 0.0000 0.0000 0.2263
Hg: 0.5000 0.5000 0.7263
Cs: 0.5000 0.5000 0.0315
Cs: 0.0000 0.0000 0.5315
F: 0.5000 0.5000 0.5557
F: 0.0000 0.0000 0.0557
Hg: 0.5000 0.5000 0.3309

Computed properties:
Raw total energy ... -16.61 eV per cell
Energy relative to the elements, uncorrected ... -5.0 eV per formula unit
Size of the total moment ... 0.00 μB per cell
Symmetry ... I4mm
Fermi-level density of states ... 0.0 states/eV/cell

***

Entry 8:
Entry from Alexandria via LeMat-Bulk: Cs6HgF8 after structural relaxation (PBE).

a b c (Å): 7.7565 7.7565 7.7565
angles (deg): 68.37 68.37 68.37
Site moments in Bohr magnetons follow the coordinates.
Sites, in units of the cell vectors:
Cs: 0.4864 0.7072 0.0626  0.00
F: 0.6627 0.6627 0.6627  0.10
F: 0.9126 0.1540 0.7032  0.01
Cs: 0.7072 0.0626 0.4864  0.00
F: 0.8460 0.2968 0.0874  0.01
Cs: 0.5136 0.2928 0.9374  0.00
F: 0.0874 0.8460 0.2968  0.01
Cs: 0.0626 0.4864 0.7072  0.00
F: 0.3373 0.3373 0.3373  0.10
Hg: 0.0000 0.0000 0.0000  0.01
F: 0.1540 0.7032 0.9126  0.01
F: 0.7032 0.9126 0.1540  0.01
Cs: 0.9374 0.5136 0.2928  0.00
F: 0.2968 0.0874 0.8460  0.01
Cs: 0.2928 0.9374 0.5136  0.00

Computed properties:
Raw total energy ... -56.43 eV per cell
Energy relative to the elements, uncorrected ... -36.0 eV per formula unit
Size of the total moment ... 0.30 μB per cell
Symmetry ... R-3
Fermi-level density of states ... 0.0 states/eV/cell

***

Entry 9:
Entry from Alexandria via LeMat-Bulk: CsHg2F after structural relaxation (PBE).

a b c (Å): 5.9024 5.9024 5.9024
angles (deg): 60.00 60.00 60.00
Sites, in units of the cell vectors:
F: 0.0000 0.0000 0.0000
Cs: 0.5000 0.5000 0.5000
Hg: 0.7500 0.7500 0.7500
Hg: 0.2500 0.2500 0.2500

Computed properties:
Raw total energy ... -6.80 eV per cell
Energy relative to the elements, uncorrected ... -3.5 eV per formula unit
Size of the total moment ... 0.00 μB per cell
Symmetry ... Fm-3m
Fermi-level density of states ... 0.0 states/eV/cell

***

Entry 10:
Entry from Alexandria via LeMat-Bulk: CsHg3F8 after structural relaxation (PBE).

a b c (Å): 6.1374 6.1374 7.5888
angles (deg): 90.00 90.00 120.00
Site moments in Bohr magnetons follow the coordinates.
Sites, in units of the cell vectors:
F: 0.6371 0.7067 0.8662  0.08
F: 0.0696 0.3629 0.8662  0.08
F: 0.3629 0.2933 0.1338  0.08
F: 0.7067 0.0696 0.1338  0.08
Cs: 0.0000 0.0000 0.5000  0.00
Hg: 0.3333 0.6667 0.0926  0.09
F: 0.3333 0.6667 0.3716  0.19
Hg: 0.6667 0.3333 0.9074  0.09
F: 0.6667 0.3333 0.6284  0.19
Hg: 0.0000 0.0000 0.0000  0.10
F: 0.2933 0.9304 0.8662  0.08
F: 0.9304 0.6371 0.1338  0.08

Computed properties:
Raw total energy ... -34.45 eV per cell
Energy relative to the elements, uncorrected ... -17.7 eV per formula unit
Size of the total moment ... 1.21 μB per cell
Symmetry ... P-3
Fermi-level density of states ... 14.0 states/eV/cell

***

Entry 11:
Entry from Alexandria via LeMat-Bulk: Cs2HgF after structural relaxation (PBE).

a b c (Å): 4.4814 4.4814 9.6402
angles (deg): 76.56 76.56 60.00
Sites, in units of the cell vectors:
Cs: 0.2716 0.2716 0.1851
Cs: 0.7284 0.7284 0.8149
Hg: 0.5000 0.5000 0.5000
F: 0.0000 0.0000 0.0000

Computed properties:
Raw total energy ... -9.22 eV per cell
Energy relative to the elements, uncorrected ... -5.3 eV per formula unit
Size of the total moment ... 0.00 μB per cell
Symmetry ... R-3m
Fermi-level density of states ... 2.8 states/eV/cell

***

The lowest energy relative to the elements, uncorrected belongs to which entry?
Cs6HgF8

***

energy relative to the elements, uncorrected of number 10 (CsHg3F8)?
-17.7 eV per formula unit